An optimized crystal structure of Pa2AlGa2Ru5, computed with GGA-PBE.

Total DFT energy (no corrections), eV/f.u.: -79.552
ΔH_f (0 K), eV per atom: -0.44
ρ, g/cm3: 11.17

Cell: 9.8383 9.8383 3.4841 Å, 90.00 90.00 90.00°
Closest atoms and distances in Å follow each position.
Positions (direct):
Pa  0.1741  0.3259  0.0000  3 Ga 2.79-2.98, 6 Ru 2.95-2.98
Pa  0.3259  0.8259  0.0000  3 Ga 2.79-2.98, 6 Ru 2.95-2.98
Pa  0.6741  0.1741  0.0000  3 Ga 2.79-2.98, 6 Ru 2.95-2.98
Pa  0.8259  0.6741  0.0000  3 Ga 2.79-2.98, 6 Ru 2.95-2.98
Al  0.0000  0.0000  0.0000  8 Ru 2.74
Al  0.5000  0.5000  0.0000  8 Ru 2.74
Ga  0.1251  0.6251  0.0000  6 Ru 2.46-2.50
Ga  0.3749  0.1251  0.0000  6 Ru 2.46-2.50
Ga  0.6251  0.8749  0.0000  6 Ru 2.46-2.50
Ga  0.8749  0.3749  0.0000  6 Ru 2.46-2.50
Ru  0.0000  0.5000  0.5000  4 Ga 2.46
Ru  0.0855  0.8033  0.5000  2 Ga 2.50, 2 Al 2.74
Ru  0.1967  0.0855  0.5000  2 Ga 2.50, 2 Al 2.74
Ru  0.3033  0.5855  0.5000  2 Ga 2.50, 2 Al 2.74
Ru  0.4145  0.3033  0.5000  2 Ga 2.50, 2 Al 2.74
Ru  0.5000  0.0000  0.5000  4 Ga 2.46
Ru  0.5855  0.6967  0.5000  2 Ga 2.50, 2 Al 2.74
Ru  0.6967  0.4145  0.5000  2 Ga 2.50, 2 Al 2.74
Ru  0.8033  0.9145  0.5000  2 Ga 2.50, 2 Al 2.74
Ru  0.9145  0.1967  0.5000  2 Ga 2.50, 2 Al 2.74